Record 1
Entry from the Alexandria database: crystalline La4Zn3Hg2 at its relaxed geometry (PBE).

Cell lengths 5.7976, 5.7976, 9.2329 Å; angles 101.26, 101.26, 52.24 degrees
Last column: nearest neighbours and their distance in Å.
Element x y z (fractional)
1 La 0.0755 0.0755 0.3444  4 Zn 3.09-3.21, 3 Hg 3.23-3.32
2 La 0.3473 0.3473 0.0798  4 Zn 3.18-3.53, 3 Hg 3.35-3.50, 2 La 3.39
3 La 0.6527 0.6527 0.9202  4 Zn 3.18-3.53, 3 Hg 3.35-3.50, 2 La 3.39
4 La 0.9245 0.9245 0.6556  4 Zn 3.09-3.21, 3 Hg 3.23-3.32
5 Zn 0.0000 0.0000 0.0000  6 La 3.11-3.18
6 Zn 0.3787 0.3787 0.4389  1 Zn 2.53
7 Zn 0.6213 0.6213 0.5611  1 Zn 2.53
8 Hg 0.2507 0.2507 0.7089  3 Zn 3.06-3.07, 4 La 3.23-3.35
9 Hg 0.7493 0.7493 0.2911  3 Zn 3.06-3.07, 4 La 3.23-3.35

Computed properties:
The calculation puts the volume at 239.5 Å³/cell. The magnetic moment comes out at 0.000 μB/f.u. As for the formation energy: -337 meV/atom. Its space-group type is No. 12. Its density of states at the Fermi level is 8.75 states/eV per cell.


Record 2
Entry from the Alexandria database: crystalline La2Zn2Hg at its relaxed geometry (PBE).

Cell lengths 6.0212, 6.0212, 11.0678 Å; angles 114.00, 114.00, 46.62 degrees
Last column: nearest neighbours and their distance in Å.
Element x y z (fractional)
1 La 0.0319 0.0319 0.3369  4 Hg 3.25-3.35, 7 Zn 3.26-3.46
2 La 0.1990 0.1990 0.1060  6 Zn 3.16-3.36, 2 Hg 3.43
3 La 0.8010 0.8010 0.8940  6 Zn 3.16-3.36, 2 Hg 3.43
4 La 0.9681 0.9681 0.6631  4 Hg 3.25-3.35, 7 Zn 3.26-3.46
5 Zn 0.3702 0.3702 0.4395  1 Zn 2.58, 2 Hg 2.77
6 Zn 0.4856 0.4856 0.1088  1 Zn 2.57, 1 Hg 2.81
7 Zn 0.5144 0.5144 0.8912  1 Zn 2.57, 1 Hg 2.81
8 Zn 0.6298 0.6298 0.5605  1 Zn 2.58, 2 Hg 2.77
9 Hg 0.2666 0.2666 0.6581  4 Zn 2.77-3.10
10 Hg 0.7334 0.7334 0.3419  4 Zn 2.77-3.10

Computed properties:
The calculation puts the volume at 261.5 Å³/cell. The magnetic moment comes out at 0.000 μB/f.u. As for the formation energy: -352 meV/atom. Its space-group type is No. 12. Its density of states at the Fermi level is 10.23 states/eV per cell.


Record 3
Entry from the Alexandria database: crystalline La3ZnHg2 at its relaxed geometry (PBE).

Cell lengths 3.8575, 3.8575, 11.5929 Å; angles 90.00, 90.00, 90.00 degrees
Last column: nearest neighbours and their distance in Å.
Element x y z (fractional)
1 La 0.0000 0.0000 0.0000  8 Hg 3.40
2 La 0.0000 0.0000 0.3487  4 Zn 3.24, 4 Hg 3.39, 1 La 3.51
3 La 0.0000 0.0000 0.6513  4 Zn 3.24, 4 Hg 3.39, 1 La 3.51
4 Zn 0.5000 0.5000 0.5000  8 La 3.24
5 Hg 0.5000 0.5000 0.1749  8 La 3.39-3.40, 1 Zn 3.77
6 Hg 0.5000 0.5000 0.8251  8 La 3.39-3.40, 1 Zn 3.77

Computed properties:
The calculation puts the volume at 172.5 Å³/cell. The magnetic moment comes out at 0.451 μB/f.u. For the energy above the lowest structure with this stoichiometry, the calculation gives 0.0000 eV per atom. As for the formation energy: -440 meV/atom. Its space-group type is No. 123. Its density of states at the Fermi level is 7.36 states/eV per cell.